First-principles (PBEsol) data for a relaxed structure of NaSe, as listed in the Alexandria database.

Output
Spin magnetization ... 1.0 μB per formula unit
V ... 50.6 Å³/cell
Energy relative to the elements, uncorrected ... -371 meV/atom
Symmetry ... Fm-3m (225)
Crystal system ... cubic

Geometry as extended XYZ:
```
2
Lattice="4.1525 0.0000 0.0000 2.0762 3.5961 0.0000 2.0762 1.1987 3.3905" Properties=species:S:1:pos:R:3 pbc="T T T"
Na 0.0000 0.0000 0.0000
Se 4.1525 2.3974 1.6952
```

---

First-principles (PBEsol) data for a relaxed structure of NaSe, as listed in the Alexandria database.

Output
Spin magnetization ... 0.0 μB per formula unit
V ... 198.4 Å³/cell
Energy relative to the elements, uncorrected ... -802 meV/atom
Symmetry ... P6_3/mmc (194)
Crystal system ... hexagonal

Geometry as extended XYZ:
```
8
Lattice="4.6636 0.0000 0.0000 -2.3318 4.0388 0.0000 0.0000 0.0000 10.5354" Properties=species:S:1:pos:R:3 pbc="T T T"
Na 0.0000 0.0000 5.2677
Na 0.0000 0.0000 0.0000
Na 0.0000 2.6926 2.6338
Na 2.3318 1.3463 7.9015
Se 0.0000 2.6926 9.1295
Se 2.3318 1.3463 3.8618
Se 2.3318 1.3463 1.4059
Se 0.0000 2.6926 6.6736
```